A plane-wave DFT calculation with PBE-GGA was carried out for crystalline ThCuO at its relaxed geometry.

Cell lengths 3.6309, 3.6309, 10.4112 Å; angles 90.00, 90.00, 120.00 degrees
Space group P-6m2 (No. 187)
One atom of each set of equivalent atoms:
Th 0.0000 0.0000 0.2042 x2
Cu 0.6667 0.3333 0.0000 x1
Cu 0.6667 0.3333 0.5000 x1
O 0.6667 0.3333 0.3235 x2

Values from the calculation:
Crystal system ... hexagonal
Magnetization ... 0.0 μB/cell
Formation energy from raw total energies ... -370 kJ/mol of formula units
N(E_F) ... 0.7 states/eV/f.u.